# Pm4PbSe2S

An optimized crystal structure of Pm4PbSe2S (PBE, Alexandria).

Cell lengths 7.380, 4.258, 7.380 Å; angles 90.00, 109.54, 90.00 degrees
Fractional coordinates of all 8 atoms:
Pm: 0.235 0.000 0.244
Pm: 0.235 0.500 0.744
Pm: 0.765 0.000 0.756
Pm: 0.765 0.500 0.256
Pb: 0.500 0.000 0.000
Se: 0.000 0.000 0.500
Se: 0.500 0.500 0.500
S: 0.000 0.500 0.000

D(E_F) ... 0.418 states/eV per atom
E_tot ... -46.07 eV/cell
Magnetic moment ... 0.0 μB/f.u.
Formation energy (no corrections) ... -12.26 eV/f.u.

# Pm4Pb2SeS

An optimized crystal structure of Pm4Pb2SeS (PBE, Alexandria).

Cell lengths 7.470, 4.263, 7.656 Å; angles 90.00, 108.62, 90.00 degrees
Fractional coordinates of all 8 atoms:
Pm: 0.236 0.000 0.225
Pm: 0.252 0.500 0.770
Pm: 0.748 0.500 0.230
Pm: 0.764 0.000 0.775
Pb: 0.000 0.000 0.500
Pb: 0.500 0.500 0.500
Se: 0.500 0.000 0.000
S: 0.000 0.500 0.000

D(E_F) ... 0.504 states/eV per atom
E_tot ... -43.57 eV/cell
Magnetic moment ... 0.0 μB/f.u.
Formation energy (no corrections) ... -9.54 eV/f.u.

# Pm6PbSe3S2

An optimized crystal structure of Pm6PbSe3S2 (PBE, Alexandria).

Cell lengths 9.442, 9.442, 8.482 Å; angles 103.41, 103.41, 25.59 degrees
Fractional coordinates of all 12 atoms:
Pm: 0.007 0.007 0.265
Pm: 0.328 0.328 0.426
Pm: 0.328 0.328 0.896
Pm: 0.672 0.672 0.104
Pm: 0.672 0.672 0.574
Pm: 0.993 0.993 0.735
Pb: 0.500 0.500 0.000
Se: 0.163 0.163 0.832
Se: 0.500 0.500 0.500
Se: 0.837 0.837 0.168
S: 0.168 0.168 0.337
S: 0.832 0.832 0.663

D(E_F) ... 0.386 states/eV per atom
E_tot ... -70.85 eV/cell
Magnetic moment ... 0.0 μB/f.u.
Formation energy (no corrections) ... -19.93 eV/f.u.

# Pm4PbSeS2

An optimized crystal structure of Pm4PbSeS2 (PBE, Alexandria).

Cell lengths 7.305, 4.171, 7.340 Å; angles 90.00, 109.20, 90.00 degrees
Fractional coordinates of all 8 atoms:
Pm: 0.233 0.000 0.225
Pm: 0.251 0.500 0.769
Pm: 0.749 0.500 0.231
Pm: 0.767 0.000 0.775
Pb: 0.500 0.500 0.500
Se: 0.000 0.000 0.500
S: 0.000 0.500 0.000
S: 0.500 0.000 0.000

D(E_F) ... 0.518 states/eV per atom
E_tot ... -47.09 eV/cell
Magnetic moment ... 0.0 μB/f.u.
Formation energy (no corrections) ... -12.64 eV/f.u.

# PmSm3Pb2S

An optimized crystal structure of PmSm3Pb2S (PBE, Alexandria).

Cell lengths 9.038, 9.038, 9.038 Å; angles 146.53, 146.39, 48.16 degrees
Fractional coordinates of all 7 atoms:
Pm: 0.000 0.000 0.000
Sm: 0.332 0.832 0.500
Sm: 0.500 0.500 0.000
Sm: 0.668 0.168 0.500
Pb: 0.138 0.638 0.500
Pb: 0.862 0.362 0.500
S: 0.500 0.000 0.500

D(E_F) ... 0.602 states/eV per atom
E_tot ... -35.91 eV/cell
Magnetic moment ... 0.0 μB/f.u.
Formation energy (no corrections) ... -5.46 eV/f.u.

# PmSnPb2S5

An optimized crystal structure of PmSnPb2S5 (PBE, Alexandria).

Cell lengths 9.044, 9.044, 12.968 Å; angles 90.00, 90.00, 153.25 degrees
Fractional coordinates of all 18 atoms:
Pm: 0.219 0.781 0.500
Pm: 0.781 0.219 0.000
Sn: 0.465 0.535 0.944
Sn: 0.535 0.465 0.444
Pb: 0.118 0.882 0.164
Pb: 0.129 0.871 0.771
Pb: 0.871 0.129 0.271
Pb: 0.882 0.118 0.664
S: 0.059 0.941 0.560
S: 0.278 0.722 0.149
S: 0.323 0.677 0.866
S: 0.376 0.624 0.512
S: 0.484 0.516 0.262
S: 0.516 0.484 0.762
S: 0.624 0.376 0.012
S: 0.677 0.323 0.366
S: 0.722 0.278 0.649
S: 0.941 0.059 0.060

D(E_F) ... 0.256 states/eV per atom
E_tot ... -88.63 eV/cell
Magnetic moment ... 0.0 μB/f.u.
Formation energy (no corrections) ... -7.51 eV/f.u.

# Sr2PmPbS4

An optimized crystal structure of Sr2PmPbS4 (PBE, Alexandria).

Cell lengths 7.275, 4.181, 7.330 Å; angles 90.00, 109.32, 90.00 degrees
Fractional coordinates of all 8 atoms:
Sr: 0.000 0.000 0.000
Sr: 0.000 0.500 0.500
Pm: 0.500 0.000 0.500
Pb: 0.500 0.500 0.000
S: 0.256 0.000 0.743
S: 0.260 0.500 0.260
S: 0.740 0.500 0.740
S: 0.744 0.000 0.257

D(E_F) ... 0.393 states/eV per atom
E_tot ... -41.57 eV/cell
Magnetic moment ... 0.0 μB/f.u.
Formation energy (no corrections) ... -13.24 eV/f.u.

# Pm6Te3Pb2S

An optimized crystal structure of Pm6Te3Pb2S (PBE, Alexandria).

Cell lengths 9.942, 9.942, 8.910 Å; angles 103.67, 103.67, 25.73 degrees
Fractional coordinates of all 12 atoms:
Pm: 0.000 0.000 0.224
Pm: 0.000 0.000 0.776
Pm: 0.333 0.333 0.421
Pm: 0.345 0.345 0.921
Pm: 0.655 0.655 0.079
Pm: 0.667 0.667 0.579
Te: 0.169 0.169 0.835
Te: 0.500 0.500 0.500
Te: 0.831 0.831 0.165
Pb: 0.165 0.165 0.330
Pb: 0.835 0.835 0.670
S: 0.500 0.500 0.000

D(E_F) ... 0.425 states/eV per atom
E_tot ... -64.28 eV/cell
Magnetic moment ... 0.0 μB/f.u.
Formation energy (no corrections) ... -14.80 eV/f.u.

# Pm4Te2PbS

An optimized crystal structure of Pm4Te2PbS (PBE, Alexandria).

Cell lengths 7.563, 4.370, 7.697 Å; angles 90.00, 109.22, 90.00 degrees
Fractional coordinates of all 8 atoms:
Pm: 0.226 0.000 0.222
Pm: 0.241 0.500 0.766
Pm: 0.759 0.500 0.234
Pm: 0.774 0.000 0.778
Te: 0.000 0.000 0.500
Te: 0.500 0.500 0.500
Pb: 0.500 0.000 0.000
S: 0.000 0.500 0.000

D(E_F) ... 0.450 states/eV per atom
E_tot ... -43.86 eV/cell
Magnetic moment ... 0.0 μB/f.u.
Formation energy (no corrections) ... -10.74 eV/f.u.

# Pm4TePbS2

An optimized crystal structure of Pm4TePbS2 (PBE, Alexandria).

Cell lengths 7.388, 4.162, 7.556 Å; angles 90.00, 108.38, 90.00 degrees
Fractional coordinates of all 8 atoms:
Pm: 0.235 0.000 0.215
Pm: 0.262 0.500 0.784
Pm: 0.738 0.500 0.216
Pm: 0.765 0.000 0.785
Te: 0.500 0.500 0.500
Pb: 0.000 0.000 0.500
S: 0.000 0.500 0.000
S: 0.500 0.000 0.000

D(E_F) ... 0.535 states/eV per atom
E_tot ... -45.97 eV/cell
Magnetic moment ... 0.0 μB/f.u.
Formation energy (no corrections) ... -11.86 eV/f.u.

# PmTm4PbS8

An optimized crystal structure of PmTm4PbS8 (PBE, Alexandria).

Cell lengths 8.180, 8.180, 8.180 Å; angles 58.85, 58.85, 58.85 degrees
Fractional coordinates of all 14 atoms:
Pm: 0.000 0.000 0.000
Tm: 0.493 0.999 0.999
Tm: 0.624 0.624 0.624
Tm: 0.999 0.493 0.999
Tm: 0.999 0.999 0.493
Pb: 0.370 0.370 0.370
S: 0.228 0.750 0.750
S: 0.231 0.231 0.231
S: 0.241 0.241 0.787
S: 0.241 0.787 0.241
S: 0.750 0.228 0.750
S: 0.750 0.750 0.228
S: 0.756 0.756 0.756
S: 0.787 0.241 0.241

D(E_F) ... 0.295 states/eV per atom
E_tot ... -83.89 eV/cell
Magnetic moment ... 0.0 μB/f.u.
Formation energy (no corrections) ... -24.52 eV/f.u.

# PmUPb2S6

An optimized crystal structure of PmUPb2S6 (PBE, Alexandria).

Cell lengths 7.463, 7.463, 7.463 Å; angles 57.96, 57.96, 57.96 degrees
Fractional coordinates of all 10 atoms:
Pm: 0.000 0.000 0.000
U: 0.504 0.504 0.504
Pb: 0.204 0.204 0.204
Pb: 0.708 0.708 0.708
S: 0.156 0.369 0.764
S: 0.289 0.858 0.630
S: 0.369 0.764 0.156
S: 0.630 0.289 0.858
S: 0.764 0.156 0.369
S: 0.858 0.630 0.289

D(E_F) ... 0.029 states/eV per atom
E_tot ... -59.68 eV/cell
Magnetic moment ... 1.0 μB/f.u.
Formation energy (no corrections) ... -11.46 eV/f.u.